Entry 1:
Sm6Ru2AuI3 (PBE, relaxed); total magnetization = 0.0 μB per cell; uncorrected energy = -5.334 eV/atom; density = 7.60 Mg/m³; DOS(E_F) = 0.26 states/eV per atom
1.0
-7.0673 0.0137 1.5956
2.1648 -1.0172 -6.8390
1.9025 -7.6390 3.0160
Sm Ru Au I
6 2 1 3
direct
0.9374 0.5813 0.8133 Sm
0.7053 0.7053 0.1855 Sm
0.0626 0.4187 0.1867 Sm
0.5813 0.9374 0.8133 Sm
0.2947 0.2947 0.8145 Sm
0.4187 0.0626 0.1867 Sm
0.3331 0.6669 0.0000 Ru
0.6669 0.3331 0.0000 Ru
0.0000 0.0000 0.0000 Au
0.1657 0.8343 0.5000 I
0.8343 0.1657 0.5000 I
0.5000 0.5000 0.5000 I

Entry 2:
Dy2Y3Ag3 (PBE, relaxed); total magnetization = 0.0 μB per cell; density = 7.29 Mg/m³; energy of formation from the pure elements = -230 meV per atom; DOS(E_F) = 0.87 states/eV per atom
1.0
-1.4474 -2.0331 2.6999
4.8214 -0.9199 1.8920
-2.4473 10.2638 3.9136
Dy Y Ag
2 3 3
direct
0.2688 0.7688 0.5375 Dy
0.7312 0.2312 0.4625 Dy
0.3797 0.3797 0.7593 Y
0.6203 0.6203 0.2407 Y
0.5000 0.0000 0.0000 Y
0.8828 0.8828 0.7656 Ag
0.0000 0.5000 0.0000 Ag
0.1172 0.1172 0.2344 Ag

Entry 3:
Re3RhBr (PBE, relaxed); total magnetization = 0.0 μB per cell; density = 13.55 Mg/m³; DOS(E_F) = 0.91 states/eV per atom; energy above the lowest structure with this stoichiometry = 0.0000 eV per atom
1.0
4.4952 0.0000 0.0000
0.0000 4.4952 0.0000
0.0000 0.0000 4.4952
Re Rh Br
3 1 1
direct
0.0000 0.5000 0.0000 Re
0.0000 0.0000 0.5000 Re
0.5000 0.0000 0.0000 Re
0.5000 0.5000 0.5000 Rh
0.0000 0.0000 0.0000 Br

Entry 4:
PmGdYMg (PBE, relaxed); total magnetization = 7.8 μB per cell; density = 5.66 Mg/m³; energy of formation from the pure elements = 62 meV per atom; DOS(E_F) = 1.32 states/eV per atom
1.0
-1.8194 -5.1738 -0.9535
-1.1228 -3.3872 4.2724
-5.2715 -1.3558 1.1662
Y Mg Gd Pm
1 1 1 1
direct
0.5000 0.5000 0.5000 Y
0.7500 0.7500 0.7500 Mg
0.0000 0.0000 0.0000 Gd
0.2500 0.2500 0.2500 Pm

Entry 5:
Ga3TeBr (PBE, relaxed); total magnetization = 0.0 μB per cell; density = 3.92 Mg/m³; DOS(E_F) = 0.00 states/eV per atom; energy above the lowest structure with this stoichiometry = 0.0000 eV per atom
1.0
5.6072 0.0000 0.0000
0.0000 5.6072 0.0000
0.0000 0.0000 5.6072
Te Ga Br
1 3 1
direct
0.5000 0.5000 0.5000 Te
0.0000 0.5000 0.0000 Ga
0.0000 0.0000 0.5000 Ga
0.5000 0.0000 0.0000 Ga
0.0000 0.0000 0.0000 Br

Entry 6:
BaPd4F12 (PBE, relaxed); total magnetization = 0.0 μB per cell; uncorrected energy = -4.353 eV/atom; density = 4.50 Mg/m³; DOS(E_F) = 0.40 states/eV per atom
1.0
7.2397 0.0000 0.0000
-2.4132 6.8256 0.0000
-2.4132 -3.4128 5.9112
Ba Pd F
1 4 12
direct
0.0000 0.0000 0.0000 Ba
0.0000 0.5000 0.0000 Pd
0.5000 0.0000 0.0000 Pd
0.5000 0.5000 0.5000 Pd
0.0000 0.0000 0.5000 Pd
0.7650 0.2412 0.0062 F
0.2412 0.4762 0.2350 F
0.9938 0.2350 0.7588 F
0.2412 0.0062 0.7650 F
0.0062 0.7650 0.2412 F
0.7588 0.5238 0.7650 F
0.4762 0.2350 0.2412 F
0.5238 0.7650 0.7588 F
0.7588 0.9938 0.2350 F
0.7650 0.7588 0.5238 F
0.2350 0.2412 0.4762 F
0.2350 0.7588 0.9938 F

Entry 7:
V2Co2Rh (PBE, relaxed); total magnetization = 0.7 μB per cell; density = 8.05 Mg/m³; energy of formation from the pure elements = 175 meV per atom; DOS(E_F) = 1.61 states/eV per atom; energy above the lowest structure with this stoichiometry = 0.3785 eV per atom
1.0
-2.1499 2.3906 -1.6263
-0.5599 -3.1327 -1.6894
-3.8978 -1.1614 3.4455
V Co Rh
2 2 1
direct
0.5000 0.5000 0.2405 V
0.5000 0.5000 0.7595 V
0.1860 0.8140 0.5000 Co
0.8140 0.1860 0.5000 Co
0.0000 0.0000 0.0000 Rh

Entry 8:
GeB2Cl (PBE, relaxed); total magnetization = 0.0 μB per cell; density = 3.92 Mg/m³; DOS(E_F) = 0.60 states/eV per atom; energy above the lowest structure with this stoichiometry = 0.8341 eV per atom
1.0
1.6028 0.1343 3.9517
-0.1138 3.6382 2.2257
-2.6146 0.3698 3.3511
Ge B Cl
1 2 1
direct
0.5000 0.5000 0.5000 Ge
0.2500 0.2500 0.2500 B
0.7500 0.7500 0.7500 B
0.0000 0.0000 0.0000 Cl

Entry 9:
LaTbPm2Se4 (PBE, relaxed); total magnetization = 0.0 μB per cell; uncorrected energy = -5.980 eV/atom; density = 7.15 Mg/m³; DOS(E_F) = 0.63 states/eV per atom
1.0
4.1599 0.0000 0.0000
0.0000 7.2632 -0.1616
0.0000 2.5414 6.8901
La Tb Pm Se
1 1 2 4
direct
0.5000 0.5000 0.0000 La
0.0000 0.5000 0.5000 Tb
0.0000 0.0000 0.0000 Pm
0.5000 0.0000 0.5000 Pm
0.0000 0.7518 0.7414 Se
0.0000 0.2482 0.2586 Se
0.5000 0.7457 0.2590 Se
0.5000 0.2543 0.7410 Se

Entry 10:
NaSr2Sb2 (PBE, relaxed); total magnetization = 0.0 μB per cell; density = 4.20 Mg/m³; DOS(E_F) = 0.67 states/eV per atom; energy above the lowest structure with this stoichiometry = 0.0783 eV per atom
1.0
9.6875 0.0000 0.0000
0.0000 9.6875 0.0000
0.0000 0.0000 3.7242
Sb Na Sr
4 2 4
direct
0.1662 0.6662 0.5000 Sb
0.6662 0.8338 0.5000 Sb
0.8338 0.3338 0.5000 Sb
0.3338 0.1662 0.5000 Sb
0.0000 0.0000 0.0000 Na
0.5000 0.5000 0.0000 Na
0.3665 0.8665 0.0000 Sr
0.8665 0.6335 0.0000 Sr
0.6335 0.1335 0.0000 Sr
0.1335 0.3665 0.0000 Sr

Entry 11:
Ba3Tl2In (PBE, relaxed); total magnetization = 0.0 μB per cell; density = 6.53 Mg/m³; energy of formation from the pure elements = -401 meV per atom; DOS(E_F) = 0.81 states/eV per atom; energy above the lowest structure with this stoichiometry = 0.0000 eV per atom
1.0
4.2932 0.0000 0.0000
0.0000 4.2932 0.0000
0.0000 0.0000 12.9003
Ba Tl In
3 2 1
direct
0.0000 0.0000 0.0000 Ba
0.0000 0.0000 0.6648 Ba
0.0000 0.0000 0.3352 Ba
0.5000 0.5000 0.8325 Tl
0.5000 0.5000 0.1675 Tl
0.5000 0.5000 0.5000 In

Entry 12:
Li6ZnSn2 (PBE, relaxed); total magnetization = 0.0 μB per cell; density = 3.48 Mg/m³; energy of formation from the pure elements = -224 meV per atom; DOS(E_F) = 0.28 states/eV per atom; energy above the lowest structure with this stoichiometry = 0.0309 eV per atom
1.0
4.8386 -0.0214 -0.7945
-0.3623 5.1593 -2.3450
0.0141 -0.1077 6.6369
Li Zn Sn
6 1 2
direct
0.6655 0.8465 0.1986 Li
0.7768 0.7915 0.5830 Li
0.6655 0.3521 0.1986 Li
0.3345 0.1535 0.8014 Li
0.2232 0.2085 0.4170 Li
0.3345 0.6479 0.8014 Li
0.0000 0.0000 0.0000 Zn
0.1763 0.6266 0.2533 Sn
0.8237 0.3734 0.7467 Sn

What did the fifth record say?
Ga3TeBr (PBE, relaxed); total magnetization = 0.0 μB per cell; density = 3.92 Mg/m³; DOS(E_F) = 0.00 states/eV per atom; energy above the lowest structure with this stoichiometry = 0.0000 eV per atom
1.0
5.6072 0.0000 0.0000
0.0000 5.6072 0.0000
0.0000 0.0000 5.6072
Te Ga Br
1 3 1
direct
0.5000 0.5000 0.5000 Te
0.0000 0.5000 0.0000 Ga
0.0000 0.0000 0.5000 Ga
0.5000 0.0000 0.0000 Ga
0.0000 0.0000 0.0000 Br

- Which formula does entry 12 have?
  Li6ZnSn2

Please write out number 4 again, unchanged.
PmGdYMg (PBE, relaxed); total magnetization = 7.8 μB per cell; density = 5.66 Mg/m³; energy of formation from the pure elements = 62 meV per atom; DOS(E_F) = 1.32 states/eV per atom
1.0
-1.8194 -5.1738 -0.9535
-1.1228 -3.3872 4.2724
-5.2715 -1.3558 1.1662
Y Mg Gd Pm
1 1 1 1
direct
0.5000 0.5000 0.5000 Y
0.7500 0.7500 0.7500 Mg
0.0000 0.0000 0.0000 Gd
0.2500 0.2500 0.2500 Pm

- Among the records above, which one has the lowest density?
  Li6ZnSn2